1.
16
Lattice="4.0346 2.3294 7.5008 -4.0346 2.3294 7.5008 0.0000 -4.6587 7.5008" Properties=species:S:1:pos:R:3 comment="Y3Tl4SnS8 | Alexandria | PBE-GGA | relaxed" magnetic_moment_mub_per_fu=0.00 dft_energy_ev_per_atom=-5.32 pbc="T T T"
Y -2.0173 -1.1647 7.5008
Y -2.0173 1.1647 15.0016
Y 0.0000 2.3294 7.5008
Tl -4.0346 0.0000 11.2512
Tl -2.0173 1.1647 3.7504
Tl 2.0173 1.1647 3.7504
Tl 0.0000 0.0000 11.2512
Sn 0.0000 0.0000 0.0000
S 0.0000 -2.3450 8.9796
S -2.0308 1.1725 8.9796
S -2.0308 -1.1725 13.5228
S 0.0000 0.0000 6.0123
S 0.0000 0.0000 16.4901
S 2.0308 1.1725 8.9796
S 2.0308 -1.1725 13.5228
S 0.0000 2.3450 13.5228

***

2.
5
Lattice="4.8122 0.0000 0.0000 0.0000 4.8122 0.0000 0.0000 0.0000 4.8122" Properties=species:S:1:pos:R:3 comment="AlSiAu3 | Alexandria | PBE-GGA | relaxed" magnetic_moment_mub_per_fu=0.00 dft_energy_ev_per_atom=-3.26 pbc="T T T"
Al 0.0000 0.0000 0.0000
Si 2.4061 2.4061 2.4061
Au 0.0000 0.0000 2.4061
Au 0.0000 2.4061 0.0000
Au 2.4061 0.0000 0.0000

***

3.
4
Lattice="2.2752 1.3136 6.2092 -2.2752 1.3136 6.2092 0.0000 -2.6272 6.2092" Properties=species:S:1:pos:R:3 comment="AcAgSe2 | Alexandria | PBE-GGA | relaxed" magnetic_moment_mub_per_fu=0.00 dft_energy_ev_per_atom=-4.70 pbc="T T T"
Ac 0.0000 0.0000 0.0000
Ag 0.0000 0.0000 9.3139
Se 0.0000 0.0000 4.5481
Se 0.0000 0.0000 14.0796